Record 1
Entry from the Alexandria database: a relaxed structure of UTa3 (GGA-PBE).

```
UTa3
1.0
2.8132 0.0000 0.0000
0.0000 4.8428 0.0000
0.0000 0.0000 5.6949
U Ta
1 3
direct
0.0000 0.0000 0.0384
0.5000 0.0000 0.5210
0.5000 0.5000 0.8056
0.0000 0.5000 0.3016
```

The formation energy from the elements comes out at 31.4 kJ per mole of atoms. Its crystal system is orthorhombic. The space group is Pmm2, No. 25. The polymorph energy (0 for the lowest one) is 136 meV per atom.

=====

Record 2
Entry from the Alexandria database: a relaxed structure of UTa5 (GGA-PBE).

```
UTa5
1.0
-1.8191 2.1357 1.7213
1.2660 -2.2124 4.0830
4.9690 5.4018 -1.4509
U Ta
1 5
direct
0.0000 0.0000 0.0000
0.0000 0.6725 0.3450
0.0000 0.3275 0.6550
0.5000 0.5000 0.0000
0.5000 0.1627 0.3254
0.5000 0.8373 0.6746
```

The formation energy from the elements comes out at 13.1 kJ per mole of atoms. Its crystal system is orthorhombic. The space group is Cmmm, No. 65.

=====

Record 3
Entry from the Alexandria database: a relaxed structure of U6Ta (GGA-PBE).

```
U6Ta
1.0
6.0925 0.0000 0.0000
-2.0308 5.7440 0.0000
-2.0308 -2.8720 4.9745
U Ta
6 1
direct
0.2500 0.7500 0.5000
0.5000 0.7500 0.2500
0.2500 0.5000 0.7500
0.7500 0.2500 0.5000
0.5000 0.2500 0.7500
0.7500 0.5000 0.2500
0.0000 0.0000 0.0000
```

The formation energy from the elements comes out at 130.7 kJ per mole of atoms. Its crystal system is cubic. The space group is Im-3m, No. 229.

=====

Record 4
Entry from the Alexandria database: a relaxed structure of UTa2V (GGA-PBE).

```
UTa2V
1.0
3.3309 0.0000 0.0000
0.0000 3.3309 0.0000
0.0000 0.0000 6.4480
V U Ta
1 1 2
direct
0.5000 0.5000 0.0000
0.5000 0.5000 0.5000
0.0000 0.0000 0.7624
0.0000 0.0000 0.2376
```

The formation energy from the elements comes out at 28.8 kJ per mole of atoms. Its crystal system is tetragonal. The space group is P4/mmm, No. 123. The polymorph energy (0 for the lowest one) is 96 meV per atom.

=====

Record 5
Entry from the Alexandria database: a relaxed structure of UTa2V (GGA-PBE).

```
UTa2V
1.0
-3.0201 3.4886 0.4922
-2.5496 0.3340 3.8628
0.8481 3.3895 3.0539
V U Ta
1 1 2
direct
0.5000 0.5000 0.5000
0.0000 0.0000 0.0000
0.2500 0.2500 0.2501
0.7500 0.7500 0.7499
```

The formation energy from the elements comes out at 19.6 kJ per mole of atoms. Its crystal system is cubic. The space group is Fm-3m, No. 225. The polymorph energy (0 for the lowest one) is 0 meV per atom.

=====

Record 6
Entry from the Alexandria database: a relaxed structure of UTa2W (GGA-PBE).

```
UTa2W
1.0
3.1874 0.0000 0.0000
0.0000 4.8226 0.0000
0.0000 0.0000 4.8226
U W Ta
1 1 2
direct
0.5000 0.5000 0.5000
0.5000 0.0000 0.0000
0.0000 0.0000 0.5000
0.0000 0.5000 0.0000
```

The formation energy from the elements comes out at 28.5 kJ per mole of atoms. Its crystal system is tetragonal. The space group is P4/mmm, No. 123. The polymorph energy (0 for the lowest one) is 19 meV per atom.

=====

Record 7
Entry from the Alexandria database: a relaxed structure of UTa2W (GGA-PBE).

```
UTa2W
1.0
-0.0414 -0.7745 3.2400
-0.6157 -3.1827 -0.7687
6.5387 -1.2149 -0.2068
U W Ta
1 1 2
direct
0.5000 0.5000 0.5000
0.5000 0.5000 0.0000
0.0000 0.0000 0.7607
0.0000 0.0000 0.2393
```

The formation energy from the elements comes out at 26.7 kJ per mole of atoms. Its crystal system is tetragonal. The space group is P4/mmm, No. 123. The polymorph energy (0 for the lowest one) is 0 meV per atom.

=====

Record 8
Entry from the Alexandria database: a relaxed structure of UTaZn (GGA-PBE).

```
UTaZn
1.0
-2.4693 -3.0045 -0.8954
-0.2513 -1.3245 -3.7562
5.2096 -6.9240 -0.0271
Ta U Zn
2 2 2
direct
0.4348 0.4348 0.6957
0.5652 0.5652 0.3043
0.3098 0.3098 0.0706
0.6902 0.6902 0.9294
0.1582 0.1582 0.5255
0.8418 0.8418 0.4745
```

The formation energy from the elements comes out at 48.0 kJ per mole of atoms. Its crystal system is trigonal. The space group is R-3m, No. 166.

=====

no.,VASP energy (eV/atom)
1,-11.39
2,-11.62
3,-10.01
4,-10.73
5,-10.83
6,-11.69
7,-11.71
8,-7.64